[1]
Compound: K3SnB
Source: Alexandria via LeMat-Bulk
Functional: PBE
Structure: optimized geometry

```
K3SnB
1.0
-4.916 1.350 -3.033
-0.366 -5.607 -1.903
-3.300 -1.391 4.730
K Sn B
3 1 1
Direct
0.000 0.000 0.500
0.000 0.500 0.000
0.500 0.000 0.000
0.500 0.500 0.500
0.000 0.000 0.000
```

## Properties
- space-group type = Pm-3m, No. 221
- spin magnetization (μB per formula unit) = 1.96
- E_form (eV/f.u.) = 4.53
- E above lowest polymorph (meV per atom) = 0
- crystal system = cubic

---

[2]
Compound: TlCuSbTe3
Source: Alexandria via LeMat-Bulk
Functional: PBE
Structure: optimized geometry

```
TlCuSbTe3
1.0
4.226 0.000 0.000
0.000 9.768 0.953
0.000 -3.767 8.960
Te Sb Tl Cu
6 2 2 2
Direct
0.250 0.548 0.821
0.250 0.788 0.479
0.750 0.889 0.150
0.750 0.212 0.521
0.750 0.452 0.179
0.250 0.111 0.850
0.750 0.335 0.855
0.250 0.665 0.145
0.250 0.183 0.221
0.750 0.817 0.779
0.750 0.932 0.436
0.250 0.068 0.564
```

## Properties
- space-group type = P2_1/m, No. 11
- spin magnetization (μB per formula unit) = 0.00
- formation energy without anion corrections (eV/atom) = -0.14
- crystal system = monoclinic

---

Q: Which value of spin magnetization does entry 1 give?
A: 1.96 μB per formula unit

---

Q: What is the spin magnetization in the first record?
A: 1.96 μB per formula unit